Run w
5
Lattice="4.831 0.000 0.000 0.000 4.831 0.000 0.000 0.000 4.831" Properties=species:S:1:pos:R:3 comment="PBE ZnGe3F, relaxed" n_ef_per_ev_cell=3.69 pbc="T T T"
Zn 0.000 0.000 0.000
Ge 0.000 0.000 2.416
Ge 0.000 2.416 0.000
Ge 2.416 0.000 0.000
F 2.416 2.416 2.416

---

Run x
5
Lattice="4.590 0.000 0.000 0.000 4.590 0.000 0.000 0.000 4.590" Properties=species:S:1:pos:R:3 comment="PBE ZnGe3F, relaxed" n_ef_per_ev_cell=2.19 pbc="T T T"
Zn 0.000 0.000 0.000
Ge 0.000 2.295 2.295
Ge 2.295 0.000 2.295
Ge 2.295 2.295 0.000
F 2.295 2.295 2.295

---

Which is the most stable structure? run x is the most stable.

---

Run w
5
Lattice="4.416 0.000 0.000 0.000 4.416 0.000 0.000 0.000 4.416" Properties=species:S:1:pos:R:3 comment="PBE Zn3GeF, relaxed" n_ef_per_ev_cell=2.14 pbc="T T T"
Zn 0.000 0.000 2.208
Zn 0.000 2.208 0.000
Zn 2.208 0.000 0.000
Ge 2.208 2.208 2.208
F 0.000 0.000 0.000

---

Run x
5
Lattice="4.873 0.000 0.000 0.000 4.873 0.000 0.000 0.000 4.873" Properties=species:S:1:pos:R:3 comment="PBE Zn3GeF, relaxed" n_ef_per_ev_cell=1.07 pbc="T T T"
Zn 0.000 0.000 2.437
Zn 0.000 2.437 0.000
Zn 2.437 0.000 0.000
Ge 0.000 0.000 0.000
F 2.437 2.437 2.437

---

Which is the most stable structure? run x is the most stable.

---

Run w
4
Lattice="0.000 3.135 3.135 3.135 0.000 3.135 3.135 3.135 0.000" Properties=species:S:1:pos:R:3 comment="PBE Zn2GeF, relaxed" n_ef_per_ev_cell=3.72 pbc="T T T"
Zn 1.568 1.568 1.568
Zn 4.703 4.703 4.703
Ge 0.000 0.000 0.000
F 3.135 3.135 3.135

---

Run x
8
Lattice="-2.617 2.617 5.749 2.617 -2.617 5.749 2.617 2.617 -5.749" Properties=species:S:1:pos:R:3 comment="PBE Zn2GeF, relaxed" n_ef_per_ev_cell=1.42 pbc="T T T"
Zn 3.926 1.089 -1.437
Zn 1.089 1.309 1.437
Zn -1.309 1.528 4.311
Zn 1.528 1.309 7.186
Ge 2.617 0.000 2.874
Ge 0.000 0.000 5.749
F 0.000 0.000 0.000
F 0.000 2.617 2.874

---

Which is the most stable structure? run x is the most stable.

---

Run w
4
Lattice="1.423 0.822 7.407 -1.423 0.822 7.407 0.000 -1.643 7.407" Properties=species:S:1:pos:R:3 comment="PBE ZnGeF2, relaxed" n_ef_per_ev_cell=0.61 pbc="T T T"
Zn 0.000 0.000 0.000
Ge 0.000 0.000 11.111
F 0.000 0.000 9.040
F 0.000 0.000 13.182

---

Run x
8
Lattice="-2.723 2.723 4.421 2.723 -2.723 4.421 2.723 2.723 -4.421" Properties=species:S:1:pos:R:3 comment="PBE ZnGeF2, relaxed" n_ef_per_ev_cell=1.35 pbc="T T T"
Zn 0.000 0.000 0.000
Zn 0.000 2.723 2.211
Ge 2.723 0.000 2.211
Ge 0.000 0.000 4.421
F 4.085 0.773 -1.105
F 0.773 1.362 1.105
F -1.362 1.950 3.316
F 1.950 1.362 5.527

---

Run y
4
Lattice="0.000 3.055 3.055 3.055 0.000 3.055 3.055 3.055 0.000" Properties=species:S:1:pos:R:3 comment="PBE ZnGeF2, relaxed" n_ef_per_ev_cell=0.08 pbc="T T T"
Zn 0.000 0.000 0.000
Ge 3.055 3.055 3.055
F 1.528 1.528 1.528
F 4.583 4.583 4.583

---

Which is the most stable structure? run w is the most stable.

---

Run w
5
Lattice="4.364 0.000 0.000 0.000 4.364 0.000 0.000 0.000 4.364" Properties=species:S:1:pos:R:3 comment="PBE ZrGeF3, relaxed" n_ef_per_ev_cell=4.32 pbc="T T T"
Zr 0.000 0.000 0.000
Ge 2.182 2.182 2.182
F 0.000 0.000 2.182
F 0.000 2.182 0.000
F 2.182 0.000 0.000

---

Run x
5
Lattice="4.415 0.000 0.000 0.000 4.415 0.000 0.000 0.000 4.415" Properties=species:S:1:pos:R:3 comment="PBE ZrGeF3, relaxed" n_ef_per_ev_cell=5.19 pbc="T T T"
Zr 0.000 0.000 0.000
Ge 2.208 2.208 2.208
F 0.000 2.208 2.208
F 2.208 0.000 2.208
F 2.208 2.208 0.000

---

Which is the most stable structure? run w is the most stable.

---

Run w
4
Lattice="0.000 2.600 2.600 2.600 0.000 2.600 2.600 2.600 0.000" Properties=species:S:1:pos:R:3 comment="PBE HF3, relaxed" n_ef_per_ev_cell=0.16 pbc="T T T"
H 0.000 0.000 0.000
F 1.300 1.300 1.300
F 2.600 2.600 2.600
F 3.900 3.900 3.900

---

Run x
8
Lattice="3.468 0.000 0.000 0.000 3.376 0.000 -1.401 0.000 8.666" Properties=species:S:1:pos:R:3 comment="PBE HF3, relaxed" n_ef_per_ev_cell=6.88 pbc="T T T"
H 0.218 0.844 0.734
H 1.849 2.532 7.932
F -0.700 0.844 5.491
F -0.673 2.532 7.887
F 1.034 2.532 3.169
F 1.033 0.844 5.497
F 2.740 0.844 0.779
F 2.766 2.532 3.174

---

Which is the most stable structure? run x is the most stable.

---

Run w
A relaxed HfH2F8 crystal. Source: Alexandria via LeMat-Bulk, functional PBE.

```
11
Lattice="4.468 0.000 0.000 1.240 5.726 0.000 1.422 0.153 5.957" Properties=species:S:1:pos:R:3 pbc="T T T"
Hf 0.000 0.000 0.000
H 2.148 4.186 2.794
H 4.982 1.693 3.163
F 1.916 5.008 1.733
F 2.250 3.573 3.599
F 2.957 1.410 5.795
F 3.747 4.483 4.853
F 3.383 1.396 1.104
F 4.173 4.468 0.162
F 4.879 2.306 2.358
F 5.214 0.870 4.224
```

---

Run x
A relaxed HfH2F8 crystal. Source: Alexandria via LeMat-Bulk, functional PBE.

```
11
Lattice="4.313 -3.365 0.000 4.313 3.365 0.000 -0.804 0.000 4.872" Properties=species:S:1:pos:R:3 pbc="T T T"
Hf 0.000 0.000 0.000
H 1.243 0.000 2.786
H 6.579 0.000 2.086
F 1.316 0.000 1.578
F 1.081 0.000 3.867
F 4.017 1.477 0.925
F 3.805 1.477 3.947
F 4.017 -1.477 0.925
F 3.805 -1.477 3.947
F 6.741 0.000 1.005
F 6.506 0.000 3.294
```

---

Which is the most stable structure? run x is the most stable.

---

Run w
5
Lattice="3.143 0.000 0.000 0.000 3.143 0.000 0.000 0.000 4.388" Properties=species:S:1:pos:R:3 comment="PBE HfHNF2, relaxed" n_ef_per_ev_cell=0.20 pbc="T T T"
Hf 0.000 0.000 0.000
H 1.571 1.571 2.194
N 1.571 1.571 0.000
F 0.000 1.571 2.194
F 1.571 0.000 2.194

---

Run x
5
Lattice="4.148 0.000 0.000 0.000 4.148 0.000 0.000 0.000 4.149" Properties=species:S:1:pos:R:3 comment="PBE HfHNF2, relaxed" n_ef_per_ev_cell=2.31 pbc="T T T"
Hf 0.000 0.000 0.000
H 2.074 2.074 2.075
N 0.000 0.000 2.075
F 0.000 2.074 0.000
F 2.074 0.000 0.000

---

Which is the most stable structure? run x is the most stable.

---

Run w
5
Lattice="4.176 0.000 0.000 0.000 4.176 0.000 0.000 0.000 3.965" Properties=species:S:1:pos:R:3 comment="PBE HfHOF2, relaxed" n_ef_per_ev_cell=0.00 pbc="T T T"
Hf 0.000 0.000 0.000
H 2.088 2.088 1.982
O 0.000 0.000 1.982
F 0.000 2.088 0.000
F 2.088 0.000 0.000

---

Run x
5
Lattice="3.153 0.000 0.000 0.000 3.153 0.000 0.000 0.000 4.288" Properties=species:S:1:pos:R:3 comment="PBE HfHOF2, relaxed" n_ef_per_ev_cell=1.28 pbc="T T T"
Hf 0.000 0.000 0.000
H 1.576 1.576 2.144
O 1.576 1.576 0.000
F 0.000 1.576 2.144
F 1.576 0.000 2.144

---

Which is the most stable structure? run w is the most stable.

---

Run w
20
Lattice="5.610 0.000 0.000 0.000 6.145 0.000 -3.334 0.000 7.789" Properties=species:S:1:pos:R:3 comment="PBE HgHF3, relaxed" n_ef_per_ev_cell=0.00 pbc="T T T"
Hg 0.242 0.952 1.609
Hg -1.425 2.120 5.504
Hg 3.701 4.025 2.285
Hg 2.034 5.193 6.180
H 1.459 3.451 0.527
H -0.208 5.767 4.422
H 2.484 0.378 3.367
H 0.817 2.694 7.262
F -2.355 0.857 7.217
F -0.688 2.215 3.322
F -1.893 3.770 7.178
F -0.226 5.447 3.283
F 1.520 3.152 1.600
F -0.147 6.066 5.494
F 2.423 0.079 2.295
F 0.756 2.993 6.190
F 2.502 0.698 4.506
F 4.169 2.375 0.612
F 2.964 3.930 4.467
F 4.631 5.288 0.573

---

Run x
10
Lattice="4.805 0.000 0.000 0.000 7.313 1.903 0.000 -7.313 1.903" Properties=species:S:1:pos:R:3 comment="PBE HgHF3, relaxed" n_ef_per_ev_cell=0.00 pbc="T T T"
Hg 1.201 -5.020 1.903
Hg 3.604 5.020 1.903
H 1.201 -0.422 1.541
H 3.604 0.422 1.541
F 1.201 -1.151 0.880
F 1.201 0.891 2.257
F 1.201 3.698 1.554
F 3.604 -3.698 1.554
F 3.604 1.151 0.880
F 3.604 -0.891 2.257

---

Run y
5
Lattice="3.639 0.000 0.000 0.000 3.639 0.000 0.000 0.000 3.639" Properties=species:S:1:pos:R:3 comment="PBE HgHF3, relaxed" n_ef_per_ev_cell=0.00 pbc="T T T"
Hg 0.000 0.000 0.000
H 1.820 1.820 1.820
F 0.000 1.820 1.820
F 1.820 0.000 1.820
F 1.820 1.820 0.000

---

Run z
5
Lattice="4.379 0.000 0.000 0.000 4.379 0.000 0.000 0.000 4.379" Properties=species:S:1:pos:R:3 comment="PBE HgHF3, relaxed" n_ef_per_ev_cell=7.79 pbc="T T T"
Hg 0.000 0.000 0.000
H 2.190 2.190 2.190
F 0.000 0.000 2.190
F 0.000 2.190 0.000
F 2.190 0.000 0.000

---

Which is the most stable structure? run w is the most stable.

---

Run w
14
Lattice="2.283 -3.655 0.000 2.283 3.655 0.000 0.000 0.000 9.278" Properties=species:S:1:pos:R:3 comment="PBE HgH2F4, relaxed" n_ef_per_ev_cell=0.00 pbc="T T T"
Hg 0.000 0.000 2.319
Hg 0.000 0.000 6.958
H 2.076 1.101 0.000
H 2.489 1.101 4.639
H 2.076 -1.101 4.639
H 2.489 -1.101 0.000
F 1.141 1.827 3.185
F 1.141 1.827 6.093
F 1.236 0.623 0.000
F 1.236 -0.623 4.639
F 1.141 -1.827 1.454
F 1.141 -1.827 7.824
F 3.329 0.623 4.639
F 3.329 -0.623 0.000

---

Run x
7
Lattice="5.062 -2.276 0.000 5.062 2.276 0.000 -0.625 0.000 3.844" Properties=species:S:1:pos:R:3 comment="PBE HgH2F4, relaxed" n_ef_per_ev_cell=0.00 pbc="T T T"
Hg 0.000 0.000 0.000
H 2.250 0.000 2.922
H 7.250 0.000 0.923
F 0.992 0.000 2.428
F 3.183 0.000 3.330
F 6.317 0.000 0.514
F 8.508 0.000 1.416

---

Which is the most stable structure? run x is the most stable.